# 1
{
  "formula": "Pm4Y2Tm",
  "functional": "PBE",
  "state": "optimized geometry",
  "de_polymorph_mev_per_atom": 192.5,
  "e_form_ev_per_atom": 0.246,
  "vol_a3_per_atom": 34.08,
  "lattice_angstrom": [[-3.434, 5.689, 6.106], [3.434, -5.689, 6.106], [3.434, 5.689, -6.106]],
  "species": ["Pm", "Pm", "Pm", "Pm", "Pm", "Pm", "Pm", "Pm", "Y", "Y", "Y", "Y", "Tm", "Tm"],
  "frac_coords": [[0.153, 0.146, 0.007], [0.241, 0.211, 0.469], [0.241, 0.772, 0.031], [0.360, 0.854, 0.507], [0.640, 0.146, 0.493], [0.759, 0.228, 0.969], [0.759, 0.789, 0.531], [0.847, 0.854, 0.993], [0.000, 0.500, 0.500], [0.033, 0.283, 0.750], [0.500, 0.500, 0.000], [0.967, 0.717, 0.250], [0.500, 0.000, 0.000], [0.500, 0.500, 0.500]]
}

# 2
{
  "formula": "Hf2SbBrCl",
  "functional": "PBE",
  "state": "optimized geometry",
  "vol_a3_per_atom": 26.88,
  "final_energy_ev_per_atom": -4.837,
  "lattice_angstrom": [[5.022, 0.000, 0.000], [0.000, 5.022, 0.000], [0.000, 0.000, 5.329]],
  "species": ["Hf", "Hf", "Sb", "Br", "Cl"],
  "frac_coords": [[0.000, 0.500, 0.000], [0.500, 0.000, 0.000], [0.000, 0.000, 0.500], [0.500, 0.500, 0.000], [0.500, 0.500, 0.500]]
}

# 3
{
  "formula": "Tl2SnP2",
  "functional": "PBE",
  "state": "optimized geometry",
  "de_polymorph_mev_per_atom": 0.0,
  "e_form_ev_per_atom": 0.172,
  "vol_a3_per_atom": 25.27,
  "lattice_angstrom": [[-1.652, 1.652, 11.572], [1.652, -1.652, 11.572], [1.652, 1.652, -11.572]],
  "species": ["Tl", "Tl", "Sn", "P", "P"],
  "frac_coords": [[0.121, 0.121, 0.000], [0.879, 0.879, 0.000], [0.500, 0.500, 0.000], [0.250, 0.750, 0.500], [0.750, 0.250, 0.500]]
}

# 4
{
  "formula": "La2ReSe",
  "functional": "PBE",
  "state": "optimized geometry",
  "vol_a3_per_atom": 25.70,
  "final_energy_ev_per_atom": -6.954,
  "lattice_angstrom": [[3.780, 0.000, 0.000], [0.000, 4.884, 0.000], [-1.888, 0.000, 5.568]],
  "species": ["La", "La", "Re", "Se"],
  "frac_coords": [[0.000, 0.000, 0.000], [0.276, 0.500, 0.542], [0.503, 0.500, 0.015], [0.732, 0.000, 0.456]]
}

# 5
{
  "formula": "KCr2Ir",
  "functional": "PBE",
  "state": "optimized geometry",
  "de_polymorph_mev_per_atom": 573.2,
  "e_form_ev_per_atom": 1.148,
  "vol_a3_per_atom": 18.28,
  "lattice_angstrom": [[4.976, 0.000, 0.000], [0.000, 4.976, 0.000], [0.000, 0.000, 2.954]],
  "species": ["K", "Cr", "Cr", "Ir"],
  "frac_coords": [[0.000, 0.000, 0.000], [0.000, 0.500, 0.500], [0.500, 0.000, 0.500], [0.500, 0.500, 0.000]]
}

# 6
{
  "formula": "CeAlGe",
  "functional": "PBE",
  "state": "optimized geometry",
  "e_form_ev_per_atom": -0.414,
  "vol_a3_per_atom": 24.18,
  "lattice_angstrom": [[6.620, 0.000, 0.000], [0.000, 6.620, 0.000], [0.000, 0.000, 6.620]],
  "species": ["Ce", "Ce", "Ce", "Ce", "Al", "Al", "Al", "Al", "Ge", "Ge", "Ge", "Ge"],
  "frac_coords": [[0.180, 0.320, 0.680], [0.320, 0.680, 0.180], [0.680, 0.180, 0.320], [0.820, 0.820, 0.820], [0.202, 0.202, 0.202], [0.298, 0.798, 0.702], [0.702, 0.298, 0.798], [0.798, 0.702, 0.298], [0.055, 0.945, 0.445], [0.445, 0.055, 0.945], [0.555, 0.555, 0.555], [0.945, 0.445, 0.055]]
}

# 7
{
  "formula": "B9H8S",
  "functional": "PBE",
  "state": "optimized geometry",
  "vol_a3_per_atom": 11.59,
  "final_energy_ev_per_atom": -5.170,
  "lattice_angstrom": [[6.803, 0.000, 0.000], [0.000, 9.950, 0.000], [-5.484, 0.000, 12.323]],
  "species": ["B", "B", "B", "B", "B", "B", "B", "B", "B", "B", "B", "B", "B", "B", "B", "B", "B", "B", "B", "B", "B", "B", "B", "B", "B", "B", "B", "B", "B", "B", "B", "B", "B", "B", "B", "B", "H", "H", "H", "H", "H", "H", "H", "H", "H", "H", "H", "H", "H", "H", "H", "H", "H", "H", "H", "H", "H", "H", "H", "H", "H", "H", "H", "H", "H", "H", "H", "H", "S", "S", "S", "S"],
  "frac_coords": [[0.042, 0.250, 0.459], [0.042, 0.250, 0.959], [0.063, 0.573, 0.027], [0.063, 0.927, 0.527], [0.081, 0.640, 0.153], [0.081, 0.860, 0.653], [0.176, 0.686, 0.656], [0.176, 0.814, 0.156], [0.205, 0.669, 0.532], [0.205, 0.831, 0.032], [0.313, 0.658, 0.018], [0.313, 0.842, 0.518], [0.322, 0.577, 0.138], [0.322, 0.923, 0.638], [0.335, 0.689, 0.236], [0.335, 0.811, 0.736], [0.418, 0.749, 0.641], [0.418, 0.751, 0.141], [0.582, 0.249, 0.859], [0.582, 0.251, 0.359], [0.665, 0.189, 0.264], [0.665, 0.311, 0.764], [0.678, 0.077, 0.362], [0.678, 0.423, 0.862], [0.687, 0.158, 0.482], [0.687, 0.342, 0.982], [0.795, 0.169, 0.968], [0.795, 0.331, 0.468], [0.824, 0.186, 0.844], [0.824, 0.314, 0.344], [0.919, 0.140, 0.347], [0.919, 0.360, 0.847], [0.937, 0.073, 0.473], [0.937, 0.427, 0.973], [0.958, 0.750, 0.041], [0.958, 0.750, 0.541], [0.033, 0.089, 0.309], [0.033, 0.411, 0.809], [0.146, 0.587, 0.698], [0.146, 0.913, 0.198], [0.222, 0.211, 0.988], [0.222, 0.289, 0.488], [0.223, 0.563, 0.494], [0.223, 0.937, 0.994], [0.405, 0.204, 0.832], [0.405, 0.296, 0.332], [0.416, 0.623, 0.970], [0.416, 0.877, 0.470], [0.417, 0.027, 0.663], [0.417, 0.473, 0.163], [0.429, 0.682, 0.332], [0.429, 0.818, 0.832], [0.571, 0.182, 0.168], [0.571, 0.318, 0.668], [0.583, 0.527, 0.837], [0.583, 0.973, 0.337], [0.584, 0.123, 0.530], [0.584, 0.377, 0.030], [0.595, 0.704, 0.668], [0.595, 0.796, 0.168], [0.777, 0.063, 0.006], [0.777, 0.437, 0.506], [0.778, 0.711, 0.512], [0.778, 0.789, 0.012], [0.854, 0.087, 0.802], [0.854, 0.413, 0.302], [0.967, 0.589, 0.191], [0.967, 0.911, 0.691], [0.028, 0.710, 0.920], [0.028, 0.790, 0.420], [0.972, 0.210, 0.580], [0.972, 0.290, 0.080]]
}

# 8
{
  "formula": "Ni2BiS",
  "functional": "PBE",
  "state": "optimized geometry",
  "de_polymorph_mev_per_atom": 55.9,
  "vol_a3_per_atom": 18.41,
  "lattice_angstrom": [[-2.336, 2.336, 6.747], [2.336, -2.336, 6.747], [2.336, 2.336, -6.747]],
  "species": ["Ni", "Ni", "Ni", "Ni", "Bi", "Bi", "S", "S"],
  "frac_coords": [[0.375, 0.237, 0.362], [0.763, 0.125, 0.138], [0.875, 0.013, 0.638], [0.987, 0.625, 0.862], [0.250, 0.750, 0.500], [0.500, 0.500, 0.000], [0.000, 0.000, 0.000], [0.750, 0.250, 0.500]]
}